# 1
A relaxed BaGe2AsIr crystal, computed with PBE.

For the mass density, the calculation gives 7.099 g/cm³. For the energy of formation, the calculation gives 0.91 eV per formula unit.

It has space group P4/mmm (No. 123), with a = 5.253 Å, b = 5.253 Å, c = 4.661 Å, α = 90.00°, β = 90.00° and γ = 90.00°. The inequivalent atoms are Ba at (0.000, 0.000, 0.000), Ge at (0.000, 0.500, 0.500), As at (0.500, 0.500, 0.500) and Ir at (0.500, 0.500, 0.000).



# 2
A relaxed CaCeEu2 crystal, computed with PBE.

For the mass density, the calculation gives 5.244 g/cm³. For the energy of formation, the calculation gives 0.58 eV per formula unit.

It has space group R-3m (No. 166, hexagonal axes), with a = 3.7470 Å, b = 3.7470 Å, c = 37.8200 Å, α = 90.00°, β = 90.00° and γ = 120.00°. The inequivalent atoms are Ca at (0.0000, 0.0000, 0.0000), Ce at (0.0000, 0.0000, 0.5000) and Eu at (0.0000, 0.0000, 0.2472).



# 3
A relaxed La2In2Au crystal, computed with PBE.

For the mass density, the calculation gives 8.222 g/cm³. For the energy of formation, the calculation gives -2.55 eV per formula unit.

It has space group P4/mbm (No. 127), with a = 7.496 Å, b = 7.496 Å, c = 5.064 Å, α = 90.00°, β = 90.00° and γ = 90.00°. The inequivalent atoms are La at (0.165, 0.335, 0.000), In at (0.141, 0.641, 0.500) and Au at (0.000, 0.000, 0.500).



# 4
A relaxed Cu3HgF crystal, computed with PBE.

For the mass density, the calculation gives 5.875 g/cm³. As for the formation energy (no corrections): 719 meV per atom.

It has space group Pm-3m (No. 221), with a = 4.876 Å, b = 4.876 Å, c = 4.876 Å, α = 90.00°, β = 90.00° and γ = 90.00°. The inequivalent atoms are Cu at (0.000, 0.000, 0.500), Hg at (0.000, 0.000, 0.000) and F at (0.500, 0.500, 0.500).



# 5
A relaxed NaTl2As crystal, computed with PBE.

For the mass density, the calculation gives 6.883 g/cm³. For the energy of formation, the calculation gives -0.38 eV per formula unit.

It has space group I-42d (No. 122), with a = 9.165 Å, b = 9.165 Å, c = 5.821 Å, α = 90.00°, β = 90.00° and γ = 90.00°. The inequivalent atoms are Na at (0.000, 0.000, 0.000), Tl at (0.180, 0.250, 0.625) and As at (0.000, 0.000, 0.500).



# 6
A relaxed InRu3 crystal, computed with PBE.

For the mass density, the calculation gives 11.183 g/cm³. For the energy of formation, the calculation gives 1.24 eV per formula unit.

It has space group R-3m (No. 166, hexagonal axes), with a = 2.8365 Å, b = 2.8365 Å, c = 26.7251 Å, α = 90.00°, β = 90.00° and γ = 120.00°. The inequivalent atoms are In at (0.0000, 0.0000, 0.0000), Ru at (0.0000, 0.0000, 0.2452) and Ru at (0.0000, 0.0000, 0.5000).



Listing final energy for the structures above in their given order: -23.8 -83.7 -42.3 -10.9 -44.3 -88.0 eV/cell.
Listing size of the total moment for the structures above in their given order: 0.00 3.46 0.00 0.00 0.00 0.00 μB/atom.
Listing N(E_F) for the structures above in their given order: 2.5 9.4 7.2 4.1 0.0 6.1 states/eV/f.u..